A relaxed Tl2CrBr crystal. Source: Alexandria, functional GGA-PBE.

Lattice parameters (Å, degrees): 3.813 3.813 7.534 90.00 90.00 90.00
Space group P4/mmm (No. 123)
Symmetry-distinct sites (fractional):
Tl  0.000  0.000  0.220
Cr  0.500  0.500  0.000
Br  0.500  0.500  0.500

Values from the calculation:
E above lowest polymorph = 0.1656 eV per atom
calculated total energy = -3.773 eV/atom